# 1
This record from the Alexandria database describes a relaxed structure of CaTb2HoS4. The functional is PBE.

a = 6.813 Å, b = 3.918 Å, c = 6.825 Å
α = 90.00°, β = 109.15°, γ = 90.00°
Fractional positions:
Ca: 0.000 0.000 0.000
Tb: 0.000 0.500 0.500
Tb: 0.500 0.000 0.500
Ho: 0.500 0.500 0.000
S: 0.252 0.000 0.753
S: 0.252 0.500 0.250
S: 0.748 0.000 0.247
S: 0.748 0.500 0.750

Output
formation energy (no corrections) = -2.0225 eV per atom
D(E_F) = 0.32 states/eV per atom
ρ = 6282 kg/m³
calculated total energy = -0.4459 Ry per atom
space group = P2/m

# 2
This record from the Alexandria database describes a relaxed structure of CaHoTeS. The functional is PBE.

a = 4.041 Å, b = 4.041 Å, c = 22.457 Å
α = 90.00°, β = 90.00°, γ = 120.00°
Fractional positions:
Ca: 0.000 0.000 0.000
Ca: 0.333 0.667 0.667
Ca: 0.667 0.333 0.333
Ho: 0.000 0.000 0.156
Ho: 0.333 0.667 0.822
Ho: 0.667 0.333 0.489
Te: 0.000 0.000 0.575
Te: 0.333 0.667 0.242
Te: 0.667 0.333 0.908
S: 0.000 0.000 0.749
S: 0.333 0.667 0.416
S: 0.667 0.333 0.083

Output
formation energy (no corrections) = -1.5636 eV per atom
D(E_F) = 0.69 states/eV per atom
ρ = 5720 kg/m³
calculated total energy = -0.3694 Ry per atom
space group = R3m

# 3
This record from the Alexandria database describes a relaxed structure of CaHo2ThS4. The functional is PBE.

a = 6.826 Å, b = 3.924 Å, c = 6.919 Å
α = 90.00°, β = 109.09°, γ = 90.00°
Fractional positions:
Ca: 0.000 0.000 0.000
Ho: 0.500 0.000 0.500
Ho: 0.500 0.500 0.000
Th: 0.000 0.500 0.500
S: 0.258 0.500 0.249
S: 0.262 0.000 0.759
S: 0.738 0.000 0.241
S: 0.742 0.500 0.751

Output
formation energy (no corrections) = -1.9424 eV per atom
D(E_F) = 0.49 states/eV per atom
ρ = 6924 kg/m³
calculated total energy = -0.4651 Ry per atom
space group = P2/m

# 4
This record from the Alexandria database describes a relaxed structure of Ca2HoThS4. The functional is PBE.

a = 6.858 Å, b = 3.937 Å, c = 7.042 Å
α = 90.00°, β = 108.68°, γ = 90.00°
Fractional positions:
Ca: 0.000 0.000 0.000
Ca: 0.500 0.500 0.000
Ho: 0.000 0.500 0.500
Th: 0.500 0.000 0.500
S: 0.241 0.500 0.245
S: 0.242 0.000 0.747
S: 0.758 0.000 0.253
S: 0.759 0.500 0.755

Output
formation energy (no corrections) = -1.9563 eV per atom
D(E_F) = 0.48 states/eV per atom
ρ = 5582 kg/m³
calculated total energy = -0.4425 Ry per atom
space group = P2/m

# 5
This record from the Alexandria database describes a relaxed structure of CaHo2Tl3S6. The functional is PBE.

a = 7.049 Å, b = 7.049 Å, c = 7.600 Å
α = 98.87°, β = 98.87°, γ = 119.99°
Fractional positions:
Ca: 0.000 0.000 0.000
Ho: 0.333 0.667 0.000
Ho: 0.667 0.333 0.000
Tl: 0.164 0.836 0.500
Tl: 0.500 0.500 0.500
Tl: 0.836 0.164 0.500
S: 0.069 0.415 0.206
S: 0.278 0.278 0.797
S: 0.415 0.069 0.206
S: 0.585 0.931 0.794
S: 0.722 0.722 0.203
S: 0.931 0.585 0.794

Output
formation energy (no corrections) = -1.3453 eV per atom
D(E_F) = 0.43 states/eV per atom
ρ = 6272 kg/m³
calculated total energy = -0.3624 Ry per atom
space group = C2/m

# 6
This record from the Alexandria database describes a relaxed structure of CaHo2TmS4. The functional is PBE.

a = 6.754 Å, b = 3.886 Å, c = 6.764 Å
α = 90.00°, β = 109.16°, γ = 90.00°
Fractional positions:
Ca: 0.000 0.000 0.000
Ho: 0.000 0.500 0.500
Ho: 0.500 0.000 0.500
Tm: 0.500 0.500 0.000
S: 0.254 0.000 0.752
S: 0.254 0.500 0.252
S: 0.746 0.000 0.248
S: 0.746 0.500 0.748

Output
formation energy (no corrections) = -1.9937 eV per atom
D(E_F) = 0.30 states/eV per atom
ρ = 6606 kg/m³
calculated total energy = -0.4418 Ry per atom
space group = P2/m

# 7
This record from the Alexandria database describes a relaxed structure of CaHoTm2S4. The functional is PBE.

a = 6.738 Å, b = 3.875 Å, c = 6.744 Å
α = 90.00°, β = 109.17°, γ = 90.00°
Fractional positions:
Ca: 0.000 0.000 0.000
Ho: 0.000 0.500 0.500
Tm: 0.500 0.000 0.500
Tm: 0.500 0.500 0.000
S: 0.255 0.000 0.751
S: 0.257 0.500 0.254
S: 0.743 0.500 0.746
S: 0.745 0.000 0.249

Output
formation energy (no corrections) = -1.9856 eV per atom
D(E_F) = 0.29 states/eV per atom
ρ = 6700 kg/m³
calculated total energy = -0.4402 Ry per atom
space group = P2/m

# 8
This record from the Alexandria database describes a relaxed structure of Ca2HoTmS4. The functional is PBE.

a = 6.776 Å, b = 3.916 Å, c = 6.890 Å
α = 90.00°, β = 109.18°, γ = 90.00°
Fractional positions:
Ca: 0.000 0.000 0.000
Ca: 0.500 0.500 0.000
Ho: 0.000 0.500 0.500
Tm: 0.500 0.000 0.500
S: 0.250 0.000 0.742
S: 0.255 0.500 0.259
S: 0.745 0.500 0.741
S: 0.750 0.000 0.258

Output
formation energy (no corrections) = -2.0384 eV per atom
D(E_F) = 0.42 states/eV per atom
ρ = 5214 kg/m³
calculated total energy = -0.4214 Ry per atom
space group = P2/m

# 9
This record from the Alexandria database describes a relaxed structure of CaY3Ho4S8. The functional is PBE.

a = 7.820 Å, b = 7.820 Å, c = 7.820 Å
α = 60.03°, β = 60.03°, γ = 60.03°
Fractional positions:
Ca: 0.000 0.000 0.000
Y: 0.000 0.500 0.500
Y: 0.500 0.000 0.500
Y: 0.500 0.500 0.000
Ho: 0.000 0.000 0.500
Ho: 0.000 0.500 0.000
Ho: 0.500 0.000 0.000
Ho: 0.500 0.500 0.500
S: 0.249 0.249 0.249
S: 0.249 0.749 0.749
S: 0.251 0.251 0.751
S: 0.251 0.751 0.251
S: 0.749 0.249 0.749
S: 0.749 0.749 0.249
S: 0.751 0.251 0.251
S: 0.751 0.751 0.751

Output
formation energy (no corrections) = -1.9946 eV per atom
D(E_F) = 0.47 states/eV per atom
ρ = 6002 kg/m³
calculated total energy = -0.4807 Ry per atom
space group = R-3m

# 10
This record from the Alexandria database describes a relaxed structure of Ca3Y3HoS8. The functional is PBE.

a = 7.979 Å, b = 7.979 Å, c = 7.979 Å
α = 59.20°, β = 59.20°, γ = 59.20°
Fractional positions:
Ca: 0.000 0.500 0.500
Ca: 0.500 0.000 0.500
Ca: 0.500 0.500 0.000
Y: 0.000 0.000 0.500
Y: 0.000 0.500 0.000
Y: 0.500 0.000 0.000
Ho: 0.500 0.500 0.500
S: 0.248 0.248 0.248
S: 0.250 0.744 0.744
S: 0.256 0.256 0.750
S: 0.256 0.750 0.256
S: 0.744 0.250 0.744
S: 0.744 0.744 0.250
S: 0.750 0.256 0.256
S: 0.752 0.752 0.752

Output
formation energy (no corrections) = -2.0961 eV per atom
D(E_F) = 0.29 states/eV per atom
ρ = 3806 kg/m³
calculated total energy = -0.4627 Ry per atom
space group = R-3m

# 11
This record from the Alexandria database describes a relaxed structure of Ca4Y3HoS8. The functional is PBE.

a = 7.974 Å, b = 7.974 Å, c = 7.974 Å
α = 59.19°, β = 59.19°, γ = 59.19°
Fractional positions:
Ca: 0.000 0.000 0.000
Ca: 0.000 0.500 0.500
Ca: 0.500 0.000 0.500
Ca: 0.500 0.500 0.000
Y: 0.000 0.000 0.500
Y: 0.000 0.500 0.000
Y: 0.500 0.000 0.000
Ho: 0.500 0.500 0.500
S: 0.249 0.249 0.249
S: 0.250 0.747 0.747
S: 0.253 0.253 0.750
S: 0.253 0.750 0.253
S: 0.747 0.250 0.747
S: 0.747 0.747 0.250
S: 0.750 0.253 0.253
S: 0.751 0.751 0.751

Output
formation energy (no corrections) = -2.0578 eV per atom
D(E_F) = 0.35 states/eV per atom
ρ = 4004 kg/m³
calculated total energy = -0.4498 Ry per atom
space group = R-3m